Entry 1:
Entry from the Alexandria database: a geometry-optimized LiCrIrO2 structure (PBE with a Hubbard U).

Values from the calculation:
Crystal system: tetragonal
Final energy (eV per atom): -5.484
Total magnetic moment (Bohr magnetons per cell): 3.66

Cell lengths 3.6250, 3.6250, 6.2031 Å; angles 90.00, 90.00, 90.00 degrees
Last column: nearest neighbours and their distance in Å.
Space group P4/mmm (No. 123)
Inequivalent atoms, fractional coordinates:
Li 0.0000 0.0000 0.0000  4 Ir 2.56
Cr 0.0000 0.0000 0.5000  4 O 1.81
Ir 0.5000 0.5000 0.0000  4 Li 2.56
O 0.0000 0.5000 0.5000  2 Cr 1.81

=====

Entry 2:
Entry from the Alexandria database: a geometry-optimized LiCr2IrO6 structure (PBE with a Hubbard U).

Values from the calculation:
Crystal system: trigonal
Final energy (eV per atom): -7.045
Total magnetic moment (Bohr magnetons per cell): 11.97

Cell lengths 5.0906, 5.0906, 13.9897 Å; angles 90.00, 90.00, 120.00 degrees
Last column: nearest neighbours and their distance in Å.
Space group R3 (No. 146, hexagonal axes)
Inequivalent atoms, fractional coordinates:
Li 0.0000 0.0000 0.0000  3 O 1.99
Cr 0.0000 0.0000 0.2827  6 O 1.98-2.09
Cr 0.0000 0.0000 0.7908  6 O 2.00-2.05
Ir 0.0000 0.0000 0.4776  6 O 1.99-2.00
O 0.0016 0.3202 0.8797  2 Cr 1.98-2.05, 1 Ir 1.99
O 0.0188 0.7107 0.3847  1 Li 1.99, 1 Ir 2.00, 2 Cr 2.00-2.09